First-principles (GGA-PBEsol) data for a geometry-optimized KSbRh2 structure, as listed in the Alexandria database.

- Spin magnetization: 0.094 μB/atom
- Total DFT energy (no corrections): -21.3 eV for the cell shown
- E_form (uncorrected): 0.177 eV per atom
- Symmetry: P4mm, No. 99

Lattice parameters (Å, degrees): 3.125 3.125 8.382 90.00 90.00 90.00
Fractional coordinates of all 4 atoms:
K (0.000, 0.000, 0.000)
Sb (0.500, 0.500, 0.654)
Rh (0.000, 0.000, 0.471)
Rh (0.500, 0.500, 0.290)